# 1
First-principles (GGA-PBE) data for a geometry-optimized Sc6CN2O2 structure, as listed in Alexandria via LeMat-Bulk.

Values from the calculation:
space-group type = C2/m
uncorrected energy = -8.70 eV/atom
mass density = 4.015 Mg/m³
density of states at the Fermi level = 0.29 states/eV per atom

a = 5.5791 Å, b = 5.5791 Å, c = 5.5683 Å
α = 99.60°, β = 99.60°, γ = 120.09°
Positions (direct):
1 Sc 0.2478 0.2478 0.2654
2 Sc 0.9312 0.5875 0.2615
3 Sc 0.0688 0.4125 0.7385
4 N 0.3330 0.6670 0.5000
5 O 0.8331 0.1669 0.0000
6 O 0.1669 0.8331 0.0000
7 Sc 0.5875 0.9312 0.2615
8 Sc 0.4125 0.0688 0.7385
9 Sc 0.7522 0.7522 0.7346
10 C 0.0000 0.0000 0.5000
11 N 0.6670 0.3330 0.5000

---

# 2
First-principles (GGA-PBE) data for a geometry-optimized Sc8CN4O3 structure, as listed in Alexandria via LeMat-Bulk.

Values from the calculation:
space-group type = R-3m
uncorrected energy = -9.00 eV/atom
mass density = 4.274 Mg/m³
density of states at the Fermi level = 0.26 states/eV per atom

a = 6.3912 Å, b = 6.3963 Å, c = 6.3911 Å
α = 119.97°, β = 120.00°, γ = 90.00°
Positions (direct):
1 O 0.0000 0.5000 0.5000
2 N 0.5000 0.0000 0.5000
3 N 0.5000 0.0000 0.0000
4 Sc 0.2457 0.2370 0.4914
5 Sc 0.2437 0.2448 0.9943
6 O 0.5000 0.5000 0.5000
7 Sc 0.2495 0.7552 0.0057
8 N 0.0000 0.0000 0.5000
9 Sc 0.7563 0.7552 0.0057
10 Sc 0.7543 0.7630 0.5086
11 C 0.0000 0.5000 0.0000
12 Sc 0.7505 0.2448 0.9943
13 O 0.5000 0.5000 0.0000
14 Sc 0.7505 0.2448 0.5010
15 N 0.0000 0.0000 0.0000
16 Sc 0.2495 0.7552 0.4990